First-principles (PBE-GGA) data for a relaxed K2BaPr crystal, as listed in Alexandria.

```
4
Lattice="1.982 1.144 15.486 -1.982 1.144 15.486 0.000 -2.288 15.486" Properties=species:S:1:pos:R:3 pbc="T T T"
K 0.000 0.000 3.808
K 0.000 0.000 42.651
Ba 0.000 0.000 23.230
Pr 0.000 0.000 0.000
```

Calculated values
ρ: 2.81 Mg/m³
Fermi-level density of states: 4.61 states/eV per cell
formation enthalpy at 0 K: 35.6 kJ/mol of atoms
volume: 52.67 Å³/atom
SG: No. 166
E: -1.86 eV per atom

First-principles (PBE-GGA) data for a relaxed NpBS2 crystal, as listed in Alexandria.

```
4
Lattice="1.512 0.873 7.925 -1.512 0.873 7.925 0.000 -1.746 7.925" Properties=species:S:1:pos:R:3 pbc="T T T"
Np 0.000 0.000 0.000
B 0.000 0.000 11.887
S 0.000 0.000 2.757
S 0.000 0.000 21.017
```

Calculated values
ρ: 8.25 Mg/m³
Fermi-level density of states: 2.42 states/eV per cell
raw formation energy: 215.4 meV per atom
volume: 15.70 Å³/atom
SG: No. 166
E: -6.75 eV per atom

First-principles (PBE-GGA) data for a relaxed RbTl10Sn3 crystal, as listed in Alexandria.

```
28
Lattice="0.000 7.937 7.937 7.937 0.000 7.937 7.937 7.937 0.000" Properties=species:S:1:pos:R:3 pbc="T T T"
Rb 3.968 3.968 3.968
Rb 11.905 11.905 11.905
Tl 2.842 2.842 0.000
Tl 5.095 5.095 0.000
Tl 2.842 0.000 2.842
Tl 7.937 5.095 2.842
Tl 5.095 0.000 5.095
Tl 7.937 2.842 5.095
Tl 9.780 6.093 6.093
Tl 0.000 2.842 2.842
Tl 5.095 7.937 2.842
Tl 5.095 2.842 7.937
Tl 6.093 6.093 6.093
Tl 9.780 9.780 6.093
Tl 9.780 6.093 9.780
Tl 6.093 9.780 6.093
Tl 6.093 6.093 9.780
Tl 9.780 9.780 9.780
Tl 0.000 5.095 5.095
Tl 2.842 7.937 5.095
Tl 2.842 5.095 7.937
Tl 6.093 9.780 9.780
Sn 7.937 7.937 4.136
Sn 7.937 4.136 7.937
Sn 11.737 7.937 7.937
Sn 4.136 7.937 7.937
Sn 7.937 11.737 7.937
Sn 7.937 7.937 11.737
```

Calculated values
ρ: 8.26 Mg/m³
Fermi-level density of states: 11.92 states/eV per cell
formation enthalpy at 0 K: 5.8 kJ/mol of atoms
volume: 35.71 Å³/atom
SG: No. 225
E: -2.56 eV per atom

Question: Which of these has the lowest volume?
Answer: NpBS2

Question: What is the formula in the third record?
Answer: RbTl10Sn3